# AcLa5Co2

Crystalline AcLa5Co2 at its relaxed geometry (PBE, Alexandria via LeMat-Bulk).

Output
Energy of formation from the pure elements   -20 meV/atom
Final energy   -5.39 eV/atom

abc: 5.325 7.544 12.237
angles: 90.00 90.00 90.00
Space group Immm (No. 71)
Unique sites:
Ac 0.000 0.000 0.000
La 0.000 0.232 0.346
La 0.000 0.500 0.000
Co 0.000 0.500 0.210